# La4MgTe

La4MgTe at its PBEsol-relaxed geometry (meta-GGA SCAN, Alexandria).

a b c (Å): 6.4059 6.4059 6.4059
angles (deg): 60.00 60.00 60.00
Sites, in units of the cell vectors:
La: 0.3754 0.3754 0.3754
La: 0.3754 0.3754 0.8737
La: 0.8737 0.3754 0.3754
La: 0.3754 0.8737 0.3754
Mg: 0.7500 0.7500 0.7500
Te: 0.0000 0.0000 0.0000

Calculated values
The formation energy without anion corrections is -12.2 kJ/mol of formula units.


# CoPtSeN2

CoPtSeN2 at its PBEsol-relaxed geometry (meta-GGA SCAN, Alexandria).

a b c (Å): 3.6348 3.6348 7.3734
angles (deg): 90.00 90.00 90.00
Site moments in Bohr magnetons follow the coordinates.
Sites, in units of the cell vectors:
Co: 0.5000 0.5000 0.5000  2.08
Se: 0.0000 0.0000 0.5000  0.11
Pt: 0.0000 0.0000 0.0000  0.01
N: 0.0000 0.5000 0.0000  0.01
N: 0.5000 0.0000 0.0000  0.01

Calculated values
The formation energy without anion corrections is 554.2 kJ/mol of formula units.


# SmRh3

SmRh3 at its PBEsol-relaxed geometry (meta-GGA SCAN, Alexandria).

a b c (Å): 5.2212 5.2212 17.3089
angles (deg): 90.00 90.00 120.00
Sites, in units of the cell vectors:
Sm: 0.3333 0.6667 0.5415
Sm: 0.6667 0.3333 0.4585
Sm: 0.6667 0.3333 0.0415
Sm: 0.3333 0.6667 0.9585
Sm: 0.3333 0.6667 0.7500
Sm: 0.6667 0.3333 0.2500
Rh: 0.1668 0.8332 0.1272
Rh: 0.6663 0.8332 0.1272
Rh: 0.1668 0.3337 0.1272
Rh: 0.8332 0.1668 0.8728
Rh: 0.3337 0.1668 0.8728
Rh: 0.8332 0.6663 0.8728
Rh: 0.8332 0.1668 0.6272
Rh: 0.3337 0.1668 0.6272
Rh: 0.8332 0.6663 0.6272
Rh: 0.1668 0.8332 0.3728
Rh: 0.6663 0.8332 0.3728
Rh: 0.1668 0.3337 0.3728
Rh: 0.3333 0.6667 0.2500
Rh: 0.6667 0.3333 0.7500
Rh: 0.0000 0.0000 0.2500
Rh: 0.0000 0.0000 0.7500
Rh: 0.0000 0.0000 0.0000
Rh: 0.0000 0.0000 0.5000

Calculated values
The energy of formation is -607 meV per atom.


# KMgCl3

KMgCl3 at its PBEsol-relaxed geometry (meta-GGA SCAN, Alexandria).

a b c (Å): 6.8846 6.9823 9.8534
angles (deg): 90.00 90.00 90.00
Sites, in units of the cell vectors:
K: 0.0113 0.9550 0.7500
K: 0.5113 0.5450 0.2500
K: 0.4887 0.4550 0.7500
K: 0.9887 0.0450 0.2500
Mg: 0.5000 0.0000 0.5000
Mg: 0.0000 0.5000 0.5000
Mg: 0.0000 0.5000 0.0000
Mg: 0.5000 0.0000 0.0000
Cl: 0.2911 0.7095 0.9704
Cl: 0.7911 0.7905 0.0296
Cl: 0.2089 0.2095 0.5296
Cl: 0.7089 0.2905 0.4704
Cl: 0.0579 0.4938 0.2500
Cl: 0.5579 0.0062 0.7500
Cl: 0.4421 0.9938 0.2500
Cl: 0.9421 0.5062 0.7500
Cl: 0.7089 0.2905 0.0296
Cl: 0.2089 0.2095 0.9704
Cl: 0.7911 0.7905 0.4704
Cl: 0.2911 0.7095 0.5296

Calculated values
The formation energy without anion corrections is -1037.7 kJ/mol of formula units.


# Ti3SbSe

Ti3SbSe at its PBEsol-relaxed geometry (meta-GGA SCAN, Alexandria).

a b c (Å): 5.0362 5.0362 5.0362
angles (deg): 90.00 90.00 90.00
Site moments in Bohr magnetons follow the coordinates.
Sites, in units of the cell vectors:
Sb: 0.0000 0.0000 0.0000  -0.05
Se: 0.5000 0.5000 0.5000  -0.14
Ti: 0.0000 0.5000 0.0000  1.80
Ti: 0.0000 0.0000 0.5000  1.80
Ti: 0.5000 0.0000 0.0000  1.80

Calculated values
The formation energy without anion corrections is 279.6 kJ/mol of formula units.


# Mg2Ta2NiO8

Mg2Ta2NiO8 at its PBEsol-relaxed geometry (meta-GGA SCAN, Alexandria).

a b c (Å): 5.1283 5.9029 9.7474
angles (deg): 107.63 89.77 90.00
Site moments in Bohr magnetons follow the coordinates.
Sites, in units of the cell vectors:
Mg: 0.7542 0.4168 0.5455  0.00
Mg: 0.7458 0.8713 0.4545  0.00
Mg: 0.2458 0.5832 0.4545  0.00
Mg: 0.2542 0.1287 0.5455  0.00
Ta: 0.7475 0.2775 0.2260  0.04
Ta: 0.7525 0.0515 0.7740  0.04
Ta: 0.2525 0.7225 0.7740  0.04
Ta: 0.2475 0.9485 0.2260  0.04
Ni: 0.7500 0.6373 0.0000  1.64
Ni: 0.2500 0.3627 0.0000  1.64
O: 0.0882 0.1831 0.1352  0.02
O: 0.4118 0.0479 0.8648  0.02
O: 0.9118 0.8169 0.8648  0.02
O: 0.5882 0.9521 0.1352  0.02
O: 0.5831 0.4361 0.1134  0.06
O: 0.9169 0.3227 0.8866  0.06
O: 0.4169 0.5639 0.8866  0.06
O: 0.0831 0.6773 0.1134  0.06
O: 0.4563 0.2844 0.3696  0.01
O: 0.0437 0.9148 0.6304  0.01
O: 0.9563 0.0852 0.3696  0.01
O: 0.5437 0.7156 0.6304  0.01
O: 0.3816 0.8348 0.3801  0.00
O: 0.1184 0.4547 0.6199  0.00
O: 0.6184 0.1652 0.6199  0.00
O: 0.8816 0.5453 0.3801  0.00

Calculated values
The formation energy without anion corrections is -3519.6 kJ/mol of formula units.


Computed total energy, in the same sequence as the records: -35.795, -24.083, -37.046, -9.598, -20.506, -18.893 eV/atom.
Computed volume, in the same sequence as the records: 31.0, 19.5, 17.0, 23.7, 25.5, 10.8 Å³ per atom.